1.
The following is a PBE-GGA calculation of RbNpPbSe3 after structural relaxation, from the Alexandria database.

```
RbNpPbSe3
1.0
-2.092 1.999 -3.238
-0.543 -7.587 -4.331
-9.925 1.096 7.086
Rb Np Pb Se
2 2 2 6
Direct
0.750 0.807 0.780
0.250 0.193 0.220
0.250 0.633 0.148
0.750 0.367 0.852
0.250 0.175 0.573
0.750 0.825 0.427
0.250 0.607 0.380
0.750 0.873 0.209
0.750 0.399 0.093
0.750 0.393 0.620
0.250 0.601 0.907
0.250 0.127 0.791
```

SG	P2_1/m (11)
formation energy without anion corrections	-954	meV per atom

2.
The following is a PBE-GGA calculation of InO after structural relaxation, from the Alexandria database.

```
InO
1.0
-3.305 1.488 6.110
-3.616 -6.097 -0.471
5.145 -3.329 3.594
In O
8 8
Direct
0.333 0.333 0.333
0.333 0.667 0.667
0.667 0.333 0.667
0.667 0.667 0.333
0.833 0.833 0.833
0.833 0.167 0.167
0.167 0.833 0.167
0.167 0.167 0.833
0.155 0.155 0.155
0.155 0.845 0.845
0.845 0.155 0.845
0.845 0.845 0.155
0.655 0.655 0.655
0.655 0.345 0.345
0.345 0.655 0.345
0.345 0.345 0.655
```

SG	I-43m (217)
formation energy without anion corrections	-901	meV per atom

3.
The following is a PBE-GGA calculation of Pr3Y4Ho8 after structural relaxation, from the Alexandria database.

```
Pr3Y4Ho8
1.0
-4.841 -4.609 1.166
8.455 -3.854 0.133
2.380 4.464 7.795
Pr Y Ho
3 4 8
Direct
0.500 0.500 0.000
0.500 0.000 0.500
0.500 0.500 0.500
0.500 0.000 0.000
0.000 0.500 0.000
0.000 0.000 0.000
0.000 0.000 0.500
0.536 0.269 0.269
0.000 0.640 0.360
0.009 0.265 0.265
0.500 0.745 0.255
0.500 0.255 0.745
0.991 0.735 0.735
0.000 0.360 0.640
0.464 0.731 0.731
```

SG	C2/m (12)

4.
The following is a PBE-GGA calculation of Pr6Nd2Sm3In after structural relaxation, from the Alexandria database.

```
Pr6Nd2Sm3In
1.0
-4.502 4.007 -1.855
-0.563 -6.167 -1.188
-3.879 -0.755 11.395
Pr Nd Sm In
6 2 3 1
Direct
0.918 0.593 0.752
0.758 0.758 0.249
0.082 0.407 0.248
0.593 0.918 0.752
0.242 0.242 0.751
0.407 0.082 0.248
0.333 0.667 0.000
0.667 0.333 0.000
0.168 0.832 0.500
0.832 0.168 0.500
0.500 0.500 0.500
0.000 0.000 0.000
```

SG	C2/m (12)

5.
The following is a PBE-GGA calculation of La12Nd2Sm5 after structural relaxation, from the Alexandria database.

```
La12Nd2Sm5
1.0
7.625 0.000 0.000
-3.812 9.254 4.961
0.000 0.916 10.179
La Nd Sm
12 2 5
Direct
0.008 0.015 0.200
0.065 0.667 0.835
0.602 0.667 0.835
0.090 0.682 0.471
0.592 0.682 0.471
0.487 0.974 0.668
0.513 0.026 0.332
0.910 0.318 0.529
0.408 0.318 0.529
0.935 0.333 0.165
0.398 0.333 0.165
0.992 0.985 0.800
0.701 0.000 0.000
0.299 0.000 0.000
0.176 0.353 0.815
0.320 0.641 0.162
0.000 0.000 0.500
0.680 0.359 0.838
0.824 0.647 0.185
```

SG	C2/m (12)

6.
The following is a PBE-GGA calculation of Ac8Zn2Ir3 after structural relaxation, from the Alexandria database.

```
Ac8Zn2Ir3
1.0
-8.034 -0.763 -3.477
2.319 -5.002 6.842
-5.243 10.872 9.726
Ac Zn Ir
16 4 6
Direct
0.840 0.160 0.140
0.680 0.840 0.640
0.160 0.320 0.640
0.840 0.680 0.140
0.320 0.160 0.140
0.160 0.840 0.640
0.512 0.488 0.854
0.023 0.512 0.354
0.488 0.977 0.354
0.512 0.023 0.854
0.000 0.000 0.354
0.000 0.000 0.854
0.333 0.667 0.151
0.977 0.488 0.854
0.488 0.512 0.354
0.667 0.333 0.651
0.667 0.333 0.007
0.333 0.667 0.507
0.667 0.333 0.454
0.333 0.667 0.954
0.671 0.836 0.248
0.836 0.164 0.748
0.164 0.329 0.248
0.836 0.671 0.748
0.329 0.164 0.748
0.164 0.836 0.248
```

SG	P6_3mc (186)

7.
The following is a PBE-GGA calculation of K2ZrSb2Se6 after structural relaxation, from the Alexandria database.

```
K2ZrSb2Se6
1.0
-4.719 -3.035 4.353
6.514 1.501 2.396
-3.091 7.617 -0.087
K Zr Sb Se
2 1 2 6
Direct
0.830 0.170 0.000
0.170 0.830 0.000
0.000 0.000 0.500
0.331 0.669 0.500
0.669 0.331 0.500
0.754 0.754 0.696
0.070 0.388 0.698
0.246 0.246 0.304
0.388 0.070 0.698
0.930 0.612 0.302
0.612 0.930 0.302
```

SG	C2/m (12)
formation energy without anion corrections	-900	meV per atom

8.
The following is a PBE-GGA calculation of K4PmF7 after structural relaxation, from the Alexandria database.

```
K4PmF7
1.0
-2.216 3.521 -1.571
-4.639 -3.699 -1.744
-0.980 1.164 10.282
K Pm F
4 1 7
Direct
0.404 0.443 0.807
0.596 0.557 0.193
0.286 0.807 0.572
0.714 0.193 0.428
0.000 0.000 0.000
0.102 0.272 0.205
0.898 0.728 0.795
0.942 0.260 0.883
0.058 0.740 0.117
0.720 0.764 0.441
0.500 0.000 0.000
0.280 0.236 0.559
```

SG	C2/m (12)
formation energy without anion corrections	-3125	meV per atom

no.,uncorrected energy (eV for the cell shown)
1,-67.59
2,-76.00
3,-70.99
4,-55.69
5,-89.46
6,-133.21
7,-49.80
8,-59.74